Compound: LiTa2Zn2
Source: Alexandria
Functional: PBE-GGA
Structure: relaxed

Cell lengths 8.1370, 8.1370, 2.7497 Å; angles 90.00, 90.00, 90.00 degrees
Atoms (fractional coordinates):
Zn 0.1793 0.6793 0.5000
Zn 0.6793 0.8207 0.5000
Zn 0.8207 0.3207 0.5000
Zn 0.3207 0.1793 0.5000
Li 0.0000 0.0000 0.0000
Li 0.5000 0.5000 0.0000
Ta 0.3837 0.8837 0.0000
Ta 0.8837 0.6163 0.0000
Ta 0.6163 0.1163 0.0000
Ta 0.1163 0.3837 0.0000

## Properties
Energy of formation in kJ/mol of formula units: 152
Space group: P4/mbm
Final energy in eV per cell: -53.2
Energy relative to the lowest polymorph listed for this composition in eV per atom: 0.027
Total magnetization in μB per cell: 0.00

***

Compound: Li2TaZn
Source: Alexandria
Functional: PBE-GGA
Structure: relaxed

Cell lengths 4.1601, 2.6350, 6.1164 Å; angles 73.65, 90.00, 90.00 degrees
Atoms (fractional coordinates):
Li 0.0000 0.0407 0.0024
Li 0.5000 0.1820 0.2312
Ta 0.0000 0.4672 0.5192
Zn 0.5000 0.8101 0.7472

## Properties
Energy of formation in kJ/mol of formula units: 78
Space group: Pm
Final energy in eV per cell: -16.1
Total magnetization in μB per cell: 0.00

***

Compound: LiTa2Zn2
Source: Alexandria
Functional: PBE-GGA
Structure: relaxed

Cell lengths 7.9102, 7.9102, 2.8666 Å; angles 90.00, 90.00, 90.00 degrees
Atoms (fractional coordinates):
Zn 0.3240 0.8240 0.0000
Zn 0.8240 0.6760 0.0000
Zn 0.6760 0.1760 0.0000
Zn 0.1760 0.3240 0.0000
Li 0.0000 0.0000 0.0000
Li 0.5000 0.5000 0.0000
Ta 0.1208 0.6208 0.5000
Ta 0.6208 0.8792 0.5000
Ta 0.8792 0.3792 0.5000
Ta 0.3792 0.1208 0.5000

## Properties
Energy of formation in kJ/mol of formula units: 139
Space group: P4/mbm
Final energy in eV per cell: -53.4
Energy relative to the lowest polymorph listed for this composition in eV per atom: 0.000
Total magnetization in μB per cell: 0.00

***

Compound: LiTa4Zn
Source: Alexandria
Functional: PBE-GGA
Structure: relaxed

Cell lengths 5.4747, 5.4747, 5.4747 Å; angles 60.00, 60.00, 60.00 degrees
Atoms (fractional coordinates):
Li 0.0000 0.0000 0.0000
Ta 0.8763 0.3746 0.3746
Ta 0.3746 0.3746 0.8763
Ta 0.3746 0.8763 0.3746
Ta 0.3746 0.3746 0.3746
Zn 0.7500 0.7500 0.7500

## Properties
Energy of formation in kJ/mol of formula units: 363
Space group: F-43m
Final energy in eV per cell: -46.8
Total magnetization in μB per cell: 0.00

***

Compound: LiTa2Zn
Source: Alexandria
Functional: PBE-GGA
Structure: relaxed

Cell lengths 2.8736, 3.8845, 5.9994 Å; angles 90.00, 90.00, 90.00 degrees
Atoms (fractional coordinates):
Li 0.5000 0.5000 0.7274
Ta 0.0000 0.0000 0.0051
Ta 0.5000 0.5000 0.2525
Zn 0.0000 0.0000 0.5149

## Properties
Energy of formation in kJ/mol of formula units: 79
Space group: Pmm2
Final energy in eV per cell: -26.1
Total magnetization in μB per cell: 0.00

***

Compound: LiTa2Zn
Source: Alexandria
Functional: PBE-GGA
Structure: relaxed

Cell lengths 5.0459, 5.0459, 5.0459 Å; angles 134.55, 134.55, 66.23 degrees
Atoms (fractional coordinates):
Li 0.7500 0.2500 0.5000
Ta 0.0000 0.0000 0.0000
Ta 0.2500 0.7500 0.5000
Zn 0.5000 0.5000 0.0000

## Properties
Energy of formation in kJ/mol of formula units: 123
Space group: I-4m2
Final energy in eV per cell: -25.6
Total magnetization in μB per cell: 0.00

***

Compound: LiTaZn
Source: Alexandria
Functional: PBE-GGA
Structure: relaxed

Cell lengths 3.7855, 2.8805, 8.9856 Å; angles 90.00, 90.00, 90.00 degrees
Atoms (fractional coordinates):
Zn 0.5000 0.5000 0.2348
Zn 0.5000 0.5000 0.9104
Li 0.0000 0.0000 0.0627
Li 0.0000 0.0000 0.3705
Ta 0.0000 0.0000 0.7318
Ta 0.5000 0.5000 0.5625

## Properties
Energy of formation in kJ/mol of formula units: 22
Space group: Pmm2
Final energy in eV per cell: -29.6
Energy relative to the lowest polymorph listed for this composition in eV per atom: 0.103
Total magnetization in μB per cell: 0.00

***

Compound: Li2TaZn
Source: Alexandria
Functional: PBE-GGA
Structure: relaxed

Cell lengths 2.6819, 2.6819, 9.7510 Å; angles 90.00, 90.00, 110.66 degrees
Atoms (fractional coordinates):
Li 0.0000 0.0000 0.9875
Li 0.0000 0.0000 0.5125
Ta 0.5000 0.5000 0.2500
Zn 0.5000 0.5000 0.7500

## Properties
Energy of formation in kJ/mol of formula units: 52
Space group: Cmmm
Final energy in eV per cell: -16.4
Total magnetization in μB per cell: 0.00

***

Compound: LiTaZn
Source: Alexandria
Functional: PBE-GGA
Structure: relaxed

Cell lengths 3.7023, 9.2822, 2.9068 Å; angles 90.00, 90.00, 90.00 degrees
Atoms (fractional coordinates):
Zn 0.0000 0.2413 0.5000
Zn 0.5000 0.7587 0.0000
Li 0.0000 0.9074 0.5000
Li 0.5000 0.0926 0.0000
Ta 0.0000 0.5864 0.5000
Ta 0.5000 0.4136 0.0000

## Properties
Energy of formation in kJ/mol of formula units: 7
Space group: Pmmn
Final energy in eV per cell: -29.9
Energy relative to the lowest polymorph listed for this composition in eV per atom: 0.050
Total magnetization in μB per cell: 0.00

***

Compound: LiTa2Zn
Source: Alexandria
Functional: PBE-GGA
Structure: relaxed

Cell lengths 7.2184, 7.2184, 5.7150 Å; angles 50.84, 50.84, 90.00 degrees
Atoms (fractional coordinates):
Zn 0.0000 0.0000 0.0000
Zn 0.7500 0.2500 0.5000
Li 0.5000 0.5000 0.0000
Li 0.2500 0.7500 0.5000
Ta 0.6239 0.1250 0.2500
Ta 0.1261 0.6250 0.2500
Ta 0.3750 0.3761 0.7500
Ta 0.8750 0.8739 0.7500

## Properties
Energy of formation in kJ/mol of formula units: 261
Space group: I-42d
Final energy in eV per cell: -48.4
Total magnetization in μB per cell: 0.00

***

Compound: LiTa2Zn
Source: Alexandria
Functional: PBE-GGA
Structure: relaxed

Cell lengths 2.7650, 2.7650, 8.8739 Å; angles 90.00, 90.00, 90.00 degrees
Atoms (fractional coordinates):
Li 0.5000 0.5000 0.7267
Ta 0.0000 0.0000 0.0033
Ta 0.5000 0.5000 0.2634
Zn 0.0000 0.0000 0.5066

## Properties
Energy of formation in kJ/mol of formula units: 48
Space group: P4mm
Final energy in eV per cell: -26.4
Total magnetization in μB per cell: 0.00

***

Compound: LiZrTa2
Source: Alexandria
Functional: PBE-GGA
Structure: relaxed

Cell lengths 3.4040, 3.4040, 6.4176 Å; angles 90.00, 90.00, 90.00 degrees
Atoms (fractional coordinates):
Li 0.5000 0.5000 0.7665
Ta 0.0000 0.0000 0.0075
Ta 0.5000 0.5000 0.2286
Zr 0.0000 0.0000 0.4974

## Properties
Energy of formation in kJ/mol of formula units: 95
Space group: P4mm
Final energy in eV per cell: -33.2
Energy relative to the lowest polymorph listed for this composition in eV per atom: 0.051
Total magnetization in μB per cell: 0.00